[1]
KUGa2O6 PBE-GGA optimized geometry; SG = C2/c; DOS(E_F) = 0.07 states/eV per cell
1.0
6.1713 -0.0828 -0.0859
1.8863 7.3362 0.0924
1.8863 -0.1795 7.3346
K U Ga O
2 2 4 12
direct
0.2500 0.9106 0.0894
0.7500 0.0894 0.9106
0.2500 0.2851 0.7149
0.7500 0.7149 0.2851
0.3446 0.7851 0.6293
0.1554 0.3707 0.2149
0.6554 0.2149 0.3707
0.8446 0.6293 0.7851
0.2129 0.0069 0.7375
0.2871 0.2625 0.9931
0.7871 0.9931 0.2625
0.7129 0.7375 0.0069
0.4056 0.7916 0.3743
0.0944 0.6257 0.2084
0.5944 0.2084 0.6257
0.9056 0.3743 0.7916
0.1711 0.6138 0.7109
0.3289 0.2891 0.3862
0.8289 0.3862 0.2891
0.6711 0.7109 0.6138

***

[2]
KUGa2O8 PBE-GGA optimized geometry; SG = P-1
1.0
-4.5274 -1.0939 -1.4180
0.7354 -4.8034 -0.1902
-2.1594 -0.6755 7.3133
K U Ga O
1 1 2 8
direct
0.0000 0.0000 0.5000
0.0000 0.0000 0.0000
0.4939 0.4942 0.8221
0.5061 0.5058 0.1779
0.2053 0.7833 0.2003
0.6946 0.6941 0.9969
0.7835 0.2038 0.1997
0.7947 0.2167 0.7997
0.3054 0.3059 0.0031
0.2165 0.7962 0.8003
0.5794 0.5717 0.4470
0.4206 0.4283 0.5530

***

The ρ results, record by record, are as follows: 5.089; 5.011 g/cm³.
The energy relative to the elements, uncorrected results, record by record, are as follows: -2273; -1903 meV/atom.